The following is a PBE+U calculation of a relaxed VGeO2 crystal, from Alexandria.

a = 6.447 Å, b = 6.447 Å, c = 6.447 Å
α = 30.76°, β = 30.76°, γ = 30.76°
Last column: magnetic moment on the atom in μB.
Fractional positions:
O (0.900, 0.900, 0.900)  -0.07
Ge (0.500, 0.500, 0.500)  -0.02
V (0.000, 0.000, 0.000)  1.94
O (0.100, 0.100, 0.100)  -0.07

Calculated values
* crystal system: trigonal
* raw total energy: -6.28 eV per atom
* SG: R-3m (166)